Entry 1:
PBE PrNdIrPt, optimized geometry; SG = F-43m; ΔE_f = -0.79 eV/atom
1.0
-3.8164 -2.4511 -2.2843
-2.0847 -4.0715 2.2064
-4.6977 0.2731 1.9101
Pr Ir Nd Pt
1 1 1 1
Direct
0.5000 0.5000 0.5000
0.2500 0.2500 0.2500
0.0000 0.0000 0.0000
0.7500 0.7500 0.7500

---

Entry 2:
PBE PrNdZnIr, optimized geometry; SG = F-43m; ΔE_f = -0.45 eV/atom
1.0
5.1189 0.0000 0.0000
2.5594 4.4331 0.0000
2.5594 1.4777 4.1796
Pr Zn Ir Nd
1 1 1 1
Direct
0.7500 0.7500 0.7500
0.0000 0.0000 0.0000
0.5000 0.5000 0.5000
0.2500 0.2500 0.2500

---

Entry 3:
PBE PrNdZnIr, optimized geometry; SG = Amm2; ΔE_f = -0.50 eV/atom
1.0
4.0546 0.0000 0.0000
0.0000 4.4665 0.0000
-2.0273 0.0000 5.5002
Pr Nd Zn Ir
1 1 1 1
Direct
0.1387 0.0000 0.2775
0.8614 0.5000 0.7227
0.5679 0.5000 0.1357
0.4320 0.0000 0.8641